The following is a DFT calculation (SCAN) of Te2RhSe at its PBEsol-relaxed geometry.

Cell and atoms, written as extended XYZ:
```
4
Lattice="4.855 0.009 0.014 -1.722 4.539 -0.014 -1.722 -2.166 3.989" Properties=species:S:1:pos:R:3 pbc="T T T"
Te 1.566 2.274 0.000
Te 1.566 -1.079 2.001
Se 0.000 0.000 0.000
Rh -1.722 1.186 1.987
```

The size of the total moment is 0.000 μB/cell. The space group is I4/mmm. As for the uncorrected formation energy: 0.42 kcal/mol of atoms.

The following is a DFT calculation (SCAN) of Zn2CuSi at its PBEsol-relaxed geometry.

Cell and atoms, written as extended XYZ:
```
4
Lattice="3.100 0.000 0.000 0.000 3.585 0.000 0.000 0.000 4.885" Properties=species:S:1:pos:R:3 pbc="T T T"
Zn 0.000 0.000 1.207
Zn 0.000 0.000 3.678
Cu 1.550 1.793 0.000
Si 1.550 1.793 2.442
```

The size of the total moment is 0.000 μB/cell. The space group is Pmmm. As for the uncorrected formation energy: 2.88 kcal/mol of atoms.

The following is a DFT calculation (SCAN) of Hf2NiH2 at its PBEsol-relaxed geometry.

Cell and atoms, written as extended XYZ:
```
5
Lattice="3.116 0.000 0.000 0.000 3.116 0.000 -1.558 -1.558 5.822" Properties=species:S:1:pos:R:3 pbc="T T T"
H 0.000 1.558 2.911
H 1.558 0.000 2.911
Ni 0.000 0.000 0.000
Hf 1.558 1.558 1.577
Hf 0.000 0.000 4.245
```

For the total energy, the calculation gives -30.18 eV per atom. The size of the total moment is 0.219 μB/cell. The space group is I4/mmm.

The following is a DFT calculation (SCAN) of Be2TcSb at its PBEsol-relaxed geometry.

Cell and atoms, written as extended XYZ:
```
4
Lattice="-2.511 2.119 -0.153 -2.391 -2.670 2.259 3.224 1.463 2.692" Properties=species:S:1:pos:R:3 pbc="T T T"
Be 0.225 0.427 2.217
Be -1.903 0.484 2.581
Sb -1.255 1.059 -0.076
Tc -1.195 -1.335 1.129
```

The size of the total moment is 0.000 μB/cell. The space group is C2/m. As for the uncorrected formation energy: 4.78 kcal/mol of atoms.

The following is a DFT calculation (SCAN) of Re3PS at its PBEsol-relaxed geometry.

Cell and atoms, written as extended XYZ:
```
5
Lattice="4.356 0.000 0.000 0.000 4.356 0.000 0.000 0.000 4.356" Properties=species:S:1:pos:R:3 pbc="T T T"
S 2.178 2.178 2.178
P 0.000 0.000 0.000
Re 0.000 0.000 2.178
Re 2.178 0.000 0.000
Re 0.000 2.178 0.000
```

The size of the total moment is 0.000 μB/cell. The space group is Pm-3m. As for the uncorrected formation energy: 36.62 kcal/mol of atoms.

The following is a DFT calculation (SCAN) of Li2Mn3F8 at its PBEsol-relaxed geometry.

Cell and atoms, written as extended XYZ:
```
26
Lattice="-0.191 5.633 -0.545 -3.445 0.386 5.194 8.427 0.821 5.528" Properties=species:S:1:pos:R:3 pbc="T T T"
F 2.938 5.793 1.518
F 0.629 2.442 5.632
F 6.500 4.581 5.613
F 3.285 1.825 5.797
F 2.136 2.274 3.359
F 2.589 4.749 6.762
F 4.562 4.798 8.534
F 5.335 0.867 3.474
F 7.563 1.542 4.901
F 5.611 1.053 7.397
F -0.769 5.590 2.828
F 4.098 4.580 4.487
F 0.176 1.849 1.623
F 0.680 4.574 0.111
F -1.761 2.066 4.543
F 1.490 5.353 4.344
Mn 8.263 3.496 5.221
Mn 1.641 0.839 6.680
Mn -2.733 5.789 3.364
Mn 3.385 0.643 4.051
Mn 2.318 3.548 5.028
Mn -1.032 5.599 0.800
Li 5.979 4.857 3.604
Li 0.141 1.752 3.717
Li 2.227 1.718 1.350
Li 4.629 4.963 6.455
```

The size of the total moment is 30.000 μB/cell. The space group is Pmn2_1. As for the uncorrected formation energy: -65.83 kcal/mol of atoms.